## Cs2TbCdBr6 (GGA-PBE)

Data for a geometry-optimized Cs2TbCdBr6 structure. Values from VASP.

```
&SYSTEM
  ibrav = 0, nat = 20, ntyp = 4
/
ATOMIC_SPECIES
Cs 132.91 Cs.upf
Tb 158.93 Tb.upf
Cd 112.41 Cd.upf
Br 79.90 Br.upf
CELL_PARAMETERS angstrom
8.291 0.000 0.000
0.000 11.704 0.000
0.000 0.000 8.294
ATOMIC_POSITIONS angstrom
Cs 2.073 0.000 2.074
Cs 2.073 5.851 2.074
Cs 6.219 11.703 6.220
Cs 6.219 5.852 6.220
Tb 2.073 2.926 6.218
Tb 6.219 8.778 2.076
Cd 2.073 8.778 6.224
Cd 6.219 2.926 2.070
Br 0.083 2.926 4.226
Br 0.079 2.926 8.208
Br 2.073 0.110 6.218
Br 2.073 5.741 6.218
Br 4.063 2.926 4.226
Br 4.067 2.926 8.208
Br 4.225 8.778 0.087
Br 4.228 8.778 4.069
Br 6.219 5.962 2.076
Br 6.219 11.593 2.076
Br 8.212 8.778 0.087
Br 8.209 8.778 4.069
```

Calculated values
Space-group type: Pmmn (59)
ΔE_f (raw) in eV per atom: -1.541
DOS(E_F) in states/eV/atom: 0.42